# BaZrCo PBE-GGA relaxed
data_BaZrCo
_chemical_formula_sum 'Ba1 Zr1 Co1'
_symmetry_space_group_name_H-M 'P 3 m 1'
_symmetry_Int_Tables_number 156
_symmetry_space_group_name_Hall 'P 3 -2"'
_cell_length_a 3.8861
_cell_length_b 3.8861
_cell_length_c 6.5374
_cell_angle_alpha 90.00
_cell_angle_beta 90.00
_cell_angle_gamma 120.00
loop_
_atom_site_label
_atom_site_type_symbol
_atom_site_fract_x
_atom_site_fract_y
_atom_site_fract_z
_atom_site_occupancy
Ba1 Ba 0.0000 0.0000 0.0000 1
Zr1 Zr 0.3333 0.6667 0.4940 1
Co1 Co 0.6667 0.3333 0.3254 1
# M_tot (μB per cell): 0.0
# Distance to the lowest polymorph of the same formula (meV/atom): 369.5
# Fermi-level density of states (states/eV per atom): 1.42
# E_tot (eV per cell): -16.42
# ΔH_f (0 K) (eV/atom): 0.38


# Eu2H6Ru PBE-GGA relaxed
data_Eu2H6Ru
_chemical_formula_sum 'Eu8 H24 Ru4'
_symmetry_space_group_name_H-M 'F m -3 m'
_symmetry_Int_Tables_number 225
_symmetry_space_group_name_Hall '-F 4 2 3'
_cell_length_a 7.4300
_cell_length_b 7.4300
_cell_length_c 7.4300
_cell_angle_alpha 90.00
_cell_angle_beta 90.00
_cell_angle_gamma 90.00
loop_
_atom_site_label
_atom_site_type_symbol
_atom_site_fract_x
_atom_site_fract_y
_atom_site_fract_z
_atom_site_occupancy
Eu1 Eu 0.2500 0.2500 0.2500 1
H1 H 0.0000 0.0000 0.2331 1
Ru1 Ru 0.0000 0.0000 0.0000 1
# M_tot (μB per cell): 56.0
# Fermi-level density of states (states/eV per atom): 2.25
# E_tot (eV per cell): -221.07


# SrTlSi PBE-GGA relaxed
data_SrTlSi
_chemical_formula_sum 'Sr4 Tl4 Si4'
_symmetry_space_group_name_H-M 'C m c m'
_symmetry_Int_Tables_number 63
_symmetry_space_group_name_Hall '-C 2c 2'
_cell_length_a 4.7295
_cell_length_b 17.9785
_cell_length_c 4.0043
_cell_angle_alpha 90.00
_cell_angle_beta 90.00
_cell_angle_gamma 90.00
loop_
_atom_site_label
_atom_site_type_symbol
_atom_site_fract_x
_atom_site_fract_y
_atom_site_fract_z
_atom_site_occupancy
Sr1 Sr 0.0000 0.0946 0.2500 1
Tl1 Tl 0.0000 0.2906 0.2500 1
Si1 Si 0.0000 0.4616 0.2500 1
# M_tot (μB per cell): 0.0
# Distance to the lowest polymorph of the same formula (meV/atom): 0.0
# Fermi-level density of states (states/eV per atom): 0.47
# E_tot (eV per cell): -41.80


# LaPmNd2Bi4 PBE-GGA relaxed
data_LaPmNd2Bi4
_chemical_formula_sum 'La1 Pm1 Nd2 Bi4'
_symmetry_space_group_name_H-M 'P 1 2/m 1'
_symmetry_Int_Tables_number 10
_symmetry_space_group_name_Hall '-P 2y'
_cell_length_a 8.0129
_cell_length_b 4.6308
_cell_length_c 8.0141
_cell_angle_alpha 90.00
_cell_angle_beta 109.46
_cell_angle_gamma 90.00
loop_
_atom_site_label
_atom_site_type_symbol
_atom_site_fract_x
_atom_site_fract_y
_atom_site_fract_z
_atom_site_occupancy
La1 La 0.0000 0.0000 0.0000 1
Pm1 Pm 0.5000 0.5000 0.0000 1
Nd1 Nd 0.0000 0.5000 0.5000 1
Nd2 Nd 0.5000 0.0000 0.5000 1
Bi1 Bi 0.2527 0.0000 0.7499 1
Bi2 Bi 0.2534 0.5000 0.2522 1
# M_tot (μB per cell): 0.0
# Fermi-level density of states (states/eV per atom): 0.13
# E_tot (eV per cell): -42.52
# ΔH_f (0 K) (eV/atom): -0.97


# Nd6Dy5Mg2 PBE-GGA relaxed
data_Nd6Dy5Mg2
_chemical_formula_sum 'Nd12 Dy10 Mg4'
_symmetry_space_group_name_H-M 'P b a m'
_symmetry_Int_Tables_number 55
_symmetry_space_group_name_Hall '-P 2 2ab'
_cell_length_a 10.5406
_cell_length_b 22.9648
_cell_length_c 3.5466
_cell_angle_alpha 90.00
_cell_angle_beta 90.00
_cell_angle_gamma 90.00
loop_
_atom_site_label
_atom_site_type_symbol
_atom_site_fract_x
_atom_site_fract_y
_atom_site_fract_z
_atom_site_occupancy
Nd1 Nd 0.0176 0.1131 0.0000 1
Nd2 Nd 0.1460 0.3829 0.0000 1
Nd3 Nd 0.1696 0.6336 0.5000 1
Dy1 Dy 0.0000 0.5000 0.5000 1
Dy2 Dy 0.0805 0.2497 0.5000 1
Dy3 Dy 0.1656 0.9944 0.5000 1
Mg1 Mg 0.1695 0.7612 0.0000 1
# M_tot (μB per cell): 0.0
# Fermi-level density of states (states/eV per atom): 1.60
# E_tot (eV per cell): -106.30
# ΔH_f (0 K) (eV/atom): 0.13


# Zr2CuAu PBE-GGA relaxed
data_Zr2CuAu
_chemical_formula_sum 'Zr8 Cu4 Au4'
_symmetry_space_group_name_H-M 'I -4 2 d'
_symmetry_Int_Tables_number 122
_symmetry_space_group_name_Hall 'I -4 2bw'
_cell_length_a 7.5994
_cell_length_b 7.5994
_cell_length_c 5.4860
_cell_angle_alpha 90.00
_cell_angle_beta 90.00
_cell_angle_gamma 90.00
loop_
_atom_site_label
_atom_site_type_symbol
_atom_site_fract_x
_atom_site_fract_y
_atom_site_fract_z
_atom_site_occupancy
Zr1 Zr 0.2286 0.7500 0.1250 1
Cu1 Cu 0.0000 0.0000 0.0000 1
Au1 Au 0.0000 0.0000 0.5000 1
# M_tot (μB per cell): 0.0
# Fermi-level density of states (states/eV per atom): 1.26
# E_tot (eV per cell): -96.85
# ΔH_f (0 K) (eV/atom): 0.06


# Pr6TlZn2 PBE-GGA relaxed
data_Pr6TlZn2
_chemical_formula_sum 'Pr24 Tl4 Zn8'
_symmetry_space_group_name_H-M 'I m m m'
_symmetry_Int_Tables_number 71
_symmetry_space_group_name_Hall '-I 2 2'
_cell_length_a 10.1646
_cell_length_b 10.2678
_cell_length_c 10.6066
_cell_angle_alpha 90.00
_cell_angle_beta 90.00
_cell_angle_gamma 90.00
loop_
_atom_site_label
_atom_site_type_symbol
_atom_site_fract_x
_atom_site_fract_y
_atom_site_fract_z
_atom_site_occupancy
Pr1 Pr 0.0000 0.2183 0.1844 1
Pr2 Pr 0.1873 0.2278 0.5000 1
Pr3 Pr 0.2083 0.5000 0.2569 1
Tl1 Tl 0.0000 0.5000 0.0000 1
Tl2 Tl 0.0000 0.5000 0.5000 1
Zn1 Zn 0.0000 0.0000 0.3786 1
Zn2 Zn 0.1301 0.0000 0.0000 1
# M_tot (μB per cell): 0.0
# Fermi-level density of states (states/eV per atom): 1.23
# E_tot (eV per cell): -141.11
# ΔH_f (0 K) (eV/atom): -0.19


# Ta2MoCl PBE-GGA relaxed
data_Ta2MoCl
_chemical_formula_sum 'Ta8 Mo4 Cl4'
_symmetry_space_group_name_H-M 'F m -3 m'
_symmetry_Int_Tables_number 225
_symmetry_space_group_name_Hall '-F 4 2 3'
_cell_length_a 6.5241
_cell_length_b 6.5241
_cell_length_c 6.5241
_cell_angle_alpha 90.00
_cell_angle_beta 90.00
_cell_angle_gamma 90.00
loop_
_atom_site_label
_atom_site_type_symbol
_atom_site_fract_x
_atom_site_fract_y
_atom_site_fract_z
_atom_site_occupancy
Ta1 Ta 0.2500 0.2500 0.2500 1
Mo1 Mo 0.0000 0.0000 0.0000 1
Cl1 Cl 0.0000 0.0000 0.5000 1
# M_tot (μB per cell): 0.0
# Distance to the lowest polymorph of the same formula (meV/atom): 659.8
# Fermi-level density of states (states/eV per atom): 1.19
# E_tot (eV per cell): -133.71


# Na2Ti3Cl8 PBE-GGA relaxed
data_Na2Ti3Cl8
_chemical_formula_sum 'Na6 Ti9 Cl24'
_symmetry_space_group_name_H-M 'R 3 m'
_symmetry_Int_Tables_number 160
_symmetry_space_group_name_Hall 'R 3 -2"'
_cell_length_a 6.9632
_cell_length_b 6.9632
_cell_length_c 20.5662
_cell_angle_alpha 90.00
_cell_angle_beta 90.00
_cell_angle_gamma 120.00
loop_
_atom_site_label
_atom_site_type_symbol
_atom_site_fract_x
_atom_site_fract_y
_atom_site_fract_z
_atom_site_occupancy
Na1 Na 0.0000 0.0000 0.0000 1
Na2 Na 0.0000 0.0000 0.3303 1
Ti1 Ti 0.1969 0.3939 0.4901 1
Cl1 Cl 0.0000 0.0000 0.5510 1
Cl2 Cl 0.0000 0.0000 0.7389 1
Cl3 Cl 0.0054 0.5027 0.5666 1
Cl4 Cl 0.1681 0.3362 0.0902 1
# M_tot (μB per cell): 0.0
# Distance to the lowest polymorph of the same formula (meV/atom): 0.0
# Fermi-level density of states (states/eV per atom): 0.07
# E_tot (eV per cell): -183.68


# Na2InBi2 PBE-GGA relaxed
data_Na2InBi2
_chemical_formula_sum 'Na8 In4 Bi8'
_symmetry_space_group_name_H-M 'C 1 2/m 1'
_symmetry_Int_Tables_number 12
_symmetry_space_group_name_Hall '-C 2y'
_cell_length_a 12.5972
_cell_length_b 5.0397
_cell_length_c 11.0451
_cell_angle_alpha 90.00
_cell_angle_beta 114.25
_cell_angle_gamma 90.00
loop_
_atom_site_label
_atom_site_type_symbol
_atom_site_fract_x
_atom_site_fract_y
_atom_site_fract_z
_atom_site_occupancy
Na1 Na 0.0036 0.0000 0.1784 1
Na2 Na 0.1586 0.0000 0.5831 1
In1 In 0.1940 0.5000 0.8477 1
Bi1 Bi 0.0451 0.5000 0.3851 1
Bi2 Bi 0.1531 0.5000 0.1056 1
# M_tot (μB per cell): 0.0
# Distance to the lowest polymorph of the same formula (meV/atom): 0.0
# Fermi-level density of states (states/eV per atom): 0.20
# E_tot (eV per cell): -57.13
# ΔH_f (0 K) (eV/atom): -0.23


# Tb2NdSc PBE-GGA relaxed
data_Tb2NdSc
_chemical_formula_sum 'Tb8 Nd4 Sc4'
_symmetry_space_group_name_H-M 'F m -3 m'
_symmetry_Int_Tables_number 225
_symmetry_space_group_name_Hall '-F 4 2 3'
_cell_length_a 7.9214
_cell_length_b 7.9214
_cell_length_c 7.9214
_cell_angle_alpha 90.00
_cell_angle_beta 90.00
_cell_angle_gamma 90.00
loop_
_atom_site_label
_atom_site_type_symbol
_atom_site_fract_x
_atom_site_fract_y
_atom_site_fract_z
_atom_site_occupancy
Tb1 Tb 0.2500 0.2500 0.2500 1
Nd1 Nd 0.0000 0.0000 0.0000 1
Sc1 Sc 0.0000 0.0000 0.5000 1
# M_tot (μB per cell): 0.1
# Distance to the lowest polymorph of the same formula (meV/atom): 118.3
# Fermi-level density of states (states/eV per atom): 2.58
# E_tot (eV per cell): -78.90
# ΔH_f (0 K) (eV/atom): 0.16


# Ce5Sb3Pb PBE-GGA relaxed
data_Ce5Sb3Pb
_chemical_formula_sum 'Ce20 Sb12 Pb4'
_symmetry_space_group_name_H-M 'I 4/m c m'
_symmetry_Int_Tables_number 140
_symmetry_space_group_name_Hall '-I 4 2c'
_cell_length_a 8.2187
_cell_length_b 8.2187
_cell_length_c 16.3938
_cell_angle_alpha 90.00
_cell_angle_beta 90.00
_cell_angle_gamma 90.00
loop_
_atom_site_label
_atom_site_type_symbol
_atom_site_fract_x
_atom_site_fract_y
_atom_site_fract_z
_atom_site_occupancy
Ce1 Ce 0.0000 0.0000 0.0000 1
Ce2 Ce 0.2002 0.2998 0.1362 1
Sb1 Sb 0.0000 0.0000 0.2500 1
Sb2 Sb 0.1241 0.3759 0.5000 1
Pb1 Pb 0.0000 0.5000 0.2500 1
# M_tot (μB per cell): 25.1
# Fermi-level density of states (states/eV per atom): 3.27
# E_tot (eV per cell): -203.37


# Hg12Pd3O5 PBE-GGA relaxed
data_Hg12Pd3O5
_chemical_formula_sum 'Hg96 Pd24 O40'
_symmetry_space_group_name_H-M 'I a -3 d'
_symmetry_Int_Tables_number 230
_symmetry_space_group_name_Hall '-I 4bd 2c 3'
_cell_length_a 14.8626
_cell_length_b 14.8626
_cell_length_c 14.8626
_cell_angle_alpha 90.00
_cell_angle_beta 90.00
_cell_angle_gamma 90.00
loop_
_atom_site_label
_atom_site_type_symbol
_atom_site_fract_x
_atom_site_fract_y
_atom_site_fract_z
_atom_site_occupancy
Hg1 Hg 0.0303 0.0717 0.6514 1
Pd1 Pd 0.0000 0.2500 0.1250 1
O1 O 0.0000 0.0000 0.0000 1
O2 O 0.0000 0.2500 0.3750 1
# M_tot (μB per cell): 0.0
# Fermi-level density of states (states/eV per atom): 0.08
# E_tot (eV per cell): -364.65


# ZnTc5 PBE-GGA relaxed
data_ZnTc5
_chemical_formula_sum 'Zn4 Tc20'
_symmetry_space_group_name_H-M 'F -4 3 m'
_symmetry_Int_Tables_number 216
_symmetry_space_group_name_Hall 'F -4 2 3'
_cell_length_a 7.1784
_cell_length_b 7.1784
_cell_length_c 7.1784
_cell_angle_alpha 90.00
_cell_angle_beta 90.00
_cell_angle_gamma 90.00
loop_
_atom_site_label
_atom_site_type_symbol
_atom_site_fract_x
_atom_site_fract_y
_atom_site_fract_z
_atom_site_occupancy
Zn1 Zn 0.0000 0.0000 0.0000 1
Tc1 Tc 0.1258 0.1258 0.3742 1
Tc2 Tc 0.2500 0.2500 0.7500 1
# M_tot (μB per cell): 0.0
# Distance to the lowest polymorph of the same formula (meV/atom): 319.9
# Fermi-level density of states (states/eV per atom): 1.01
# E_tot (eV per cell): -204.27
# ΔH_f (0 K) (eV/atom): 0.34


# Nd2Y8Al PBE-GGA relaxed
data_Nd2Y8Al
_chemical_formula_sum 'Nd4 Y16 Al2'
_symmetry_space_group_name_H-M 'C 1 2/m 1'
_symmetry_Int_Tables_number 12
_symmetry_space_group_name_Hall '-C 2y'
_cell_length_a 19.3917
_cell_length_b 5.5259
_cell_length_c 6.5066
_cell_angle_alpha 90.00
_cell_angle_beta 94.10
_cell_angle_gamma 90.00
loop_
_atom_site_label
_atom_site_type_symbol
_atom_site_fract_x
_atom_site_fract_y
_atom_site_fract_z
_atom_site_occupancy
Nd1 Nd 0.2422 0.0000 0.3346 1
Y1 Y 0.0418 0.0000 0.2528 1
Y2 Y 0.0767 0.5000 0.6063 1
Y3 Y 0.1537 0.0000 0.8149 1
Y4 Y 0.1562 0.5000 0.1241 1
Al1 Al 0.0000 0.5000 0.0000 1
# M_tot (μB per cell): 0.0
# Distance to the lowest polymorph of the same formula (meV/atom): 0.0
# Fermi-level density of states (states/eV per atom): 1.44
# E_tot (eV per cell): -130.88
# ΔH_f (0 K) (eV/atom): -0.04


# Ba2ScRe2N6 PBE-GGA relaxed
data_Ba2ScRe2N6
_chemical_formula_sum 'Ba6 Sc3 Re6 N18'
_symmetry_space_group_name_H-M 'R -3 m'
_symmetry_Int_Tables_number 166
_symmetry_space_group_name_Hall '-R 3 2"'
_cell_length_a 6.1287
_cell_length_b 6.1287
_cell_length_c 18.0867
_cell_angle_alpha 90.00
_cell_angle_beta 90.00
_cell_angle_gamma 120.00
loop_
_atom_site_label
_atom_site_type_symbol
_atom_site_fract_x
_atom_site_fract_y
_atom_site_fract_z
_atom_site_occupancy
Ba1 Ba 0.0000 0.0000 0.2296 1
Sc1 Sc 0.0000 0.0000 0.0000 1
Re1 Re 0.0000 0.0000 0.4292 1
N1 N 0.0012 0.5006 0.2606 1
# M_tot (μB per cell): 0.0
# Fermi-level density of states (states/eV per atom): 0.26
# E_tot (eV per cell): -279.42


# InTe5Pd3 PBE-GGA relaxed
data_InTe5Pd3
_chemical_formula_sum 'In4 Te20 Pd12'
_symmetry_space_group_name_H-M 'C 1 2/m 1'
_symmetry_Int_Tables_number 12
_symmetry_space_group_name_Hall '-C 2y'
_cell_length_a 10.8728
_cell_length_b 8.7500
_cell_length_c 10.8849
_cell_angle_alpha 90.00
_cell_angle_beta 110.00
_cell_angle_gamma 90.00
loop_
_atom_site_label
_atom_site_type_symbol
_atom_site_fract_x
_atom_site_fract_y
_atom_site_fract_z
_atom_site_occupancy
In1 In 0.0782 0.0000 0.2728 1
Te1 Te 0.0000 0.3040 0.0000 1
Te2 Te 0.1028 0.5000 0.3983 1
Te3 Te 0.1362 0.1952 0.6845 1
Te4 Te 0.2340 0.5000 0.9416 1
Pd1 Pd 0.0000 0.0000 0.0000 1
Pd2 Pd 0.0000 0.0000 0.5000 1
Pd3 Pd 0.1612 0.5000 0.6674 1
Pd4 Pd 0.1716 0.5000 0.1758 1
# M_tot (μB per cell): 0.0
# Fermi-level density of states (states/eV per atom): 0.49
# E_tot (eV per cell): -143.86


# Sc3TiSb PBE-GGA relaxed
data_Sc3TiSb
_chemical_formula_sum 'Sc3 Ti1 Sb1'
_symmetry_space_group_name_H-M 'P m -3 m'
_symmetry_Int_Tables_number 221
_symmetry_space_group_name_Hall '-P 4 2 3'
_cell_length_a 5.2905
_cell_length_b 5.2905
_cell_length_c 5.2905
_cell_angle_alpha 90.00
_cell_angle_beta 90.00
_cell_angle_gamma 90.00
loop_
_atom_site_label
_atom_site_type_symbol
_atom_site_fract_x
_atom_site_fract_y
_atom_site_fract_z
_atom_site_occupancy
Sc1 Sc 0.0000 0.0000 0.5000 1
Ti1 Ti 0.5000 0.5000 0.5000 1
Sb1 Sb 0.0000 0.0000 0.0000 1
# M_tot (μB per cell): 0.0
# Distance to the lowest polymorph of the same formula (meV/atom): 165.7
# Fermi-level density of states (states/eV per atom): 2.86
# E_tot (eV per cell): -28.26


# Na2ScF PBE-GGA relaxed
data_Na2ScF
_chemical_formula_sum 'Na8 Sc4 F4'
_symmetry_space_group_name_H-M 'F m -3 m'
_symmetry_Int_Tables_number 225
_symmetry_space_group_name_Hall '-F 4 2 3'
_cell_length_a 7.4415
_cell_length_b 7.4415
_cell_length_c 7.4415
_cell_angle_alpha 90.00
_cell_angle_beta 90.00
_cell_angle_gamma 90.00
loop_
_atom_site_label
_atom_site_type_symbol
_atom_site_fract_x
_atom_site_fract_y
_atom_site_fract_z
_atom_site_occupancy
Na1 Na 0.2500 0.2500 0.2500 1
Sc1 Sc 0.0000 0.0000 0.0000 1
F1 F 0.0000 0.0000 0.5000 1
# M_tot (μB per cell): 0.0
# Distance to the lowest polymorph of the same formula (meV/atom): 663.3
# Fermi-level density of states (states/eV per atom): 0.40
# E_tot (eV per cell): -44.38